Entry 1:
Density functional theory data (PBE) for crystalline K2AgTe2O6 at its relaxed geometry. Values from VASP.

Geometry as Quantum ESPRESSO input:
```
&SYSTEM
  ibrav = 0, nat = 11, ntyp = 4
/
ATOMIC_SPECIES
K 39.10 K.upf
Ag 107.87 Ag.upf
Te 127.60 Te.upf
O 16.00 O.upf
CELL_PARAMETERS angstrom
5.694 -2.927 0.000
5.694 2.927 0.000
-5.225 0.000 6.381
ATOMIC_POSITIONS crystal
K 0.104 0.104 0.341
K 0.896 0.896 0.659
Ag 0.500 0.500 0.500
Te 0.293 0.293 0.885
Te 0.707 0.707 0.115
O 0.094 0.595 0.253
O 0.375 0.375 0.744
O 0.405 0.906 0.747
O 0.595 0.094 0.253
O 0.625 0.625 0.256
O 0.906 0.405 0.747
```

Entry 2:
Density functional theory data (PBE) for crystalline K3AgTe2O9 at its relaxed geometry. Values from VASP.

Geometry as Quantum ESPRESSO input:
```
&SYSTEM
  ibrav = 0, nat = 15, ntyp = 4
/
ATOMIC_SPECIES
K 39.10 K.upf
Ag 107.87 Ag.upf
Te 127.60 Te.upf
O 16.00 O.upf
CELL_PARAMETERS angstrom
5.836 0.000 0.000
-2.918 5.054 0.000
0.000 0.000 7.281
ATOMIC_POSITIONS crystal
K 0.000 0.000 0.000
K 0.333 0.667 0.655
K 0.667 0.333 0.345
Ag 0.000 0.000 0.500
Te 0.333 0.667 0.164
Te 0.667 0.333 0.836
O 0.000 0.500 0.000
O 0.176 0.353 0.311
O 0.176 0.824 0.311
O 0.353 0.176 0.689
O 0.500 0.000 0.000
O 0.500 0.500 0.000
O 0.647 0.824 0.311
O 0.824 0.176 0.689
O 0.824 0.647 0.689
```

Entry 3:
Density functional theory data (PBE) for crystalline KTlAgO2 at its relaxed geometry. Values from VASP.

Geometry as Quantum ESPRESSO input:
```
&SYSTEM
  ibrav = 0, nat = 10, ntyp = 4
/
ATOMIC_SPECIES
K 39.10 K.upf
Tl 204.38 Tl.upf
Ag 107.87 Ag.upf
O 16.00 O.upf
CELL_PARAMETERS angstrom
3.398 -6.473 0.000
3.398 6.473 0.000
0.000 0.000 5.352
ATOMIC_POSITIONS crystal
K 0.250 0.750 0.816
K 0.750 0.250 0.184
Tl 0.250 0.250 0.000
Tl 0.750 0.750 0.000
Ag 0.000 0.000 0.500
Ag 0.500 0.500 0.500
O 0.102 0.898 0.187
O 0.398 0.602 0.187
O 0.602 0.398 0.813
O 0.898 0.102 0.813
```

Entry 4:
Density functional theory data (PBE) for crystalline K2TlAgO4 at its relaxed geometry. Values from VASP.

Geometry as Quantum ESPRESSO input:
```
&SYSTEM
  ibrav = 0, nat = 16, ntyp = 4
/
ATOMIC_SPECIES
K 39.10 K.upf
Tl 204.38 Tl.upf
Ag 107.87 Ag.upf
O 16.00 O.upf
CELL_PARAMETERS angstrom
6.736 0.000 0.000
0.000 6.736 0.000
0.000 0.000 6.415
ATOMIC_POSITIONS crystal
K 0.000 0.500 0.000
K 0.000 0.500 0.500
K 0.500 0.000 0.000
K 0.500 0.000 0.500
Tl 0.000 0.000 0.000
Tl 0.500 0.500 0.500
Ag 0.000 0.000 0.500
Ag 0.500 0.500 0.000
O 0.154 0.154 0.255
O 0.154 0.846 0.745
O 0.346 0.346 0.755
O 0.346 0.654 0.245
O 0.654 0.346 0.245
O 0.654 0.654 0.755
O 0.846 0.154 0.745
O 0.846 0.846 0.255
```

Entry 5:
Density functional theory data (PBE) for crystalline KTm2AgO4 at its relaxed geometry. Values from VASP.

Geometry as Quantum ESPRESSO input:
```
&SYSTEM
  ibrav = 0, nat = 16, ntyp = 4
/
ATOMIC_SPECIES
K 39.10 K.upf
Tm 168.93 Tm.upf
Ag 107.87 Ag.upf
O 16.00 O.upf
CELL_PARAMETERS angstrom
1.754 -5.918 0.000
1.754 5.918 0.000
0.000 0.000 12.238
ATOMIC_POSITIONS crystal
K 0.066 0.934 0.750
K 0.934 0.066 0.250
Tm 0.367 0.633 0.562
Tm 0.367 0.633 0.938
Tm 0.633 0.367 0.062
Tm 0.633 0.367 0.438
Ag 0.228 0.772 0.250
Ag 0.772 0.228 0.750
O 0.000 0.000 0.000
O 0.000 0.000 0.500
O 0.247 0.753 0.080
O 0.247 0.753 0.420
O 0.413 0.587 0.750
O 0.587 0.413 0.250
O 0.753 0.247 0.580
O 0.753 0.247 0.920
```

Entry 6:
Density functional theory data (PBE) for crystalline KU2AgO8 at its relaxed geometry. Values from VASP.

Geometry as Quantum ESPRESSO input:
```
&SYSTEM
  ibrav = 0, nat = 12, ntyp = 4
/
ATOMIC_SPECIES
K 39.10 K.upf
U 238.03 U.upf
Ag 107.87 Ag.upf
O 16.00 O.upf
CELL_PARAMETERS angstrom
5.994 0.000 0.000
-2.997 5.191 0.000
0.000 0.000 6.867
ATOMIC_POSITIONS crystal
K 0.000 0.000 0.000
U 0.333 0.667 0.425
U 0.667 0.333 0.575
Ag 0.000 0.000 0.500
O 0.060 0.373 0.626
O 0.313 0.940 0.626
O 0.333 0.667 0.154
O 0.373 0.313 0.374
O 0.627 0.687 0.626
O 0.667 0.333 0.846
O 0.687 0.060 0.374
O 0.940 0.627 0.374
```

Entry 7:
Density functional theory data (PBE) for crystalline K4U3AgO12 at its relaxed geometry. Values from VASP.

Geometry as Quantum ESPRESSO input:
```
&SYSTEM
  ibrav = 0, nat = 20, ntyp = 4
/
ATOMIC_SPECIES
K 39.10 K.upf
U 238.03 U.upf
Ag 107.87 Ag.upf
O 16.00 O.upf
CELL_PARAMETERS angstrom
-4.336 4.336 4.336
4.336 -4.336 4.336
4.336 4.336 -4.336
ATOMIC_POSITIONS crystal
K 0.000 0.000 0.500
K 0.000 0.500 0.000
K 0.500 0.000 0.000
K 0.500 0.500 0.500
U 0.000 0.500 0.500
U 0.500 0.000 0.500
U 0.500 0.500 0.000
Ag 0.000 0.000 0.000
O 0.000 0.276 0.276
O 0.000 0.724 0.724
O 0.250 0.500 0.750
O 0.250 0.750 0.500
O 0.276 0.000 0.276
O 0.276 0.276 0.000
O 0.500 0.250 0.750
O 0.500 0.750 0.250
O 0.724 0.000 0.724
O 0.724 0.724 0.000
O 0.750 0.250 0.500
O 0.750 0.500 0.250
```

Entry 8:
Density functional theory data (PBE) for crystalline KUAg2O6 at its relaxed geometry. Values from VASP.

Geometry as Quantum ESPRESSO input:
```
&SYSTEM
  ibrav = 0, nat = 20, ntyp = 4
/
ATOMIC_SPECIES
K 39.10 K.upf
U 238.03 U.upf
Ag 107.87 Ag.upf
O 16.00 O.upf
CELL_PARAMETERS angstrom
5.769 -5.740 0.000
5.769 5.740 0.000
-3.024 0.000 6.155
ATOMIC_POSITIONS crystal
K 0.092 0.908 0.750
K 0.908 0.092 0.250
U 0.237 0.763 0.250
U 0.763 0.237 0.750
Ag 0.253 0.371 0.811
Ag 0.371 0.253 0.311
Ag 0.629 0.747 0.689
Ag 0.747 0.629 0.189
O 0.006 0.236 0.716
O 0.157 0.665 0.943
O 0.236 0.006 0.216
O 0.335 0.843 0.557
O 0.382 0.481 0.204
O 0.481 0.382 0.704
O 0.519 0.618 0.296
O 0.618 0.519 0.796
O 0.665 0.157 0.443
O 0.764 0.994 0.784
O 0.843 0.335 0.057
O 0.994 0.764 0.284
```

Entry 9:
Density functional theory data (PBE) for crystalline K2UAg2O6 at its relaxed geometry. Values from VASP.

Geometry as Quantum ESPRESSO input:
```
&SYSTEM
  ibrav = 0, nat = 11, ntyp = 4
/
ATOMIC_SPECIES
K 39.10 K.upf
U 238.03 U.upf
Ag 107.87 Ag.upf
O 16.00 O.upf
CELL_PARAMETERS angstrom
3.256 -4.800 0.000
3.256 4.800 0.000
-3.067 0.000 6.286
ATOMIC_POSITIONS crystal
K 0.183 0.817 0.000
K 0.817 0.183 0.000
U 0.000 0.000 0.500
Ag 0.335 0.665 0.500
Ag 0.665 0.335 0.500
O 0.024 0.332 0.708
O 0.243 0.243 0.347
O 0.332 0.024 0.708
O 0.668 0.976 0.292
O 0.757 0.757 0.653
O 0.976 0.668 0.292
```

Entry 10:
Density functional theory data (PBE) for crystalline K2UAgO6 at its relaxed geometry. Values from VASP.

Geometry as Quantum ESPRESSO input:
```
&SYSTEM
  ibrav = 0, nat = 10, ntyp = 4
/
ATOMIC_SPECIES
K 39.10 K.upf
U 238.03 U.upf
Ag 107.87 Ag.upf
O 16.00 O.upf
CELL_PARAMETERS angstrom
5.440 -2.919 0.000
5.440 2.919 0.000
-3.131 0.000 4.926
ATOMIC_POSITIONS crystal
K 0.250 0.250 0.250
K 0.750 0.750 0.750
U 0.000 0.000 0.500
Ag 0.500 0.500 0.000
O 0.211 0.211 0.712
O 0.252 0.746 0.752
O 0.254 0.748 0.248
O 0.746 0.252 0.752
O 0.748 0.254 0.248
O 0.789 0.789 0.288
```

In meV per atom, the E_form (uncorrected) values for the records above are, in order, -1045.5 -955.1 -559.9 -586.3 -2358.7 -2092.0 -2508.0 -1380.2 -1621.8 -1769.7.
In μB per formula unit, the total magnetization values for the records above are, in order, 0.00 2.13 0.00 1.95 0.00 2.02 0.00 0.00 1.68 0.00.
In eV per atom, the E values for the records above are, in order, -4.780 -4.759 -3.806 -3.992 -6.449 -7.608 -7.538 -6.164 -6.070 -6.378.